# 1
VASP calculation (PBE) on crystalline LaY3As4 at its relaxed geometry.

Properties
- Total magnetization: 0.0 μB/f.u.
- Energy of formation: -1.55 eV/atom
- Calculated volume: 26.0 Å³/atom
- Total DFT energy (no corrections): -55.31 eV per cell

Cell: 4.1913 7.2544 7.2544 Å, 70.57 89.99 89.99°
Element x y z (fractional)
As 0.0000 0.2415 0.2585
As 0.0000 0.7587 0.7414
As 0.4998 0.2459 0.7458
As 0.5001 0.7543 0.2542
Y 0.9999 0.0001 0.0000
Y 0.5000 0.0001 0.5000
Y 0.0000 0.5001 0.5000
La 0.5000 0.5001 0.0000

---

# 2
VASP calculation (PBE) on crystalline LiMg3Pt at its relaxed geometry.

Properties
- Total magnetization: 0.0 μB/f.u.
- Energy of formation: -0.51 eV/atom
- Calculated volume: 17.8 Å³/atom
- Total DFT energy (no corrections): -30.54 eV per cell

Cell: 4.5553 4.5612 8.8453 Å, 90.00 75.16 90.00°
Element x y z (fractional)
Mg 0.1407 0.3446 0.4353
Mg 0.7714 0.3444 0.1771
Mg 0.2704 0.8445 0.1792
Mg 0.9553 0.3444 0.8063
Mg 0.6392 0.8445 0.4377
Mg 0.4560 0.8444 0.8084
Pt 0.0502 0.8444 0.6185
Pt 0.3607 0.3444 0.9960
Li 0.5428 0.3443 0.6311
Li 0.8686 0.8442 0.9833

---

# 3
VASP calculation (PBE) on crystalline ZrReNi2 at its relaxed geometry.

Properties
- Total magnetization: 0.0 μB/f.u.
- Energy of formation: 0.23 eV/atom
- Calculated volume: 14.8 Å³/atom
- Total DFT energy (no corrections): -31.63 eV per cell

Cell: 9.0066 9.0066 9.0066 Å, 17.75 17.75 17.75°
Element x y z (fractional)
Zr 0.7500 0.7500 0.7500
Ni 0.5063 0.5063 0.5063
Ni 0.9937 0.9937 0.9937
Re 0.2500 0.2500 0.2500

---

# 4
VASP calculation (PBE) on crystalline CdNi3As at its relaxed geometry.

Properties
- Total magnetization: 0.0 μB/f.u.
- Energy of formation: -0.02 eV/atom
- Calculated volume: 15.8 Å³/atom
- Total DFT energy (no corrections): -46.04 eV per cell

Cell: 5.1827 6.4453 6.2841 Å, 120.85 114.35 90.00°
Element x y z (fractional)
Ni 0.7500 0.2579 0.5000
Ni 0.1341 0.1341 0.7681
Ni 0.8659 0.8659 0.2319
Ni 0.3659 0.8659 0.2319
Ni 0.6341 0.1341 0.7681
Ni 0.2500 0.7421 0.5000
As 0.5000 0.0000 0.0000
As 0.0000 0.5000 0.0000
Cd 0.2500 0.3330 0.5000
Cd 0.7500 0.6670 0.5000

---

# 5
VASP calculation (PBE) on crystalline InCuAu at its relaxed geometry.

Properties
- Total magnetization: 0.0 μB/f.u.
- Energy of formation: -0.05 eV/atom
- Calculated volume: 18.3 Å³/atom
- Total DFT energy (no corrections): -20.55 eV per cell

Cell: 5.3073 5.2678 5.2681 Å, 83.80 60.46 60.46°
Element x y z (fractional)
In 0.2104 0.9046 0.3186
In 0.7104 0.6316 0.5917
Cu 0.9613 0.2672 0.9541
Cu 0.4613 0.2672 0.9542
Au 0.9605 0.7674 0.9558
Au 0.4606 0.2687 0.4543

---

# 6
VASP calculation (PBE) on crystalline CsRbCd5 at its relaxed geometry.

Properties
- Total magnetization: 0.0 μB/f.u.
- Energy of formation: -0.06 eV/atom
- Calculated volume: 36.6 Å³/atom
- Total DFT energy (no corrections): -27.25 eV per cell

Cell: 7.1474 11.8420 12.0940 Å, 90.00 90.00 90.00°
Element x y z (fractional)
Cd 0.4583 0.0846 0.6560
Cd 0.5417 0.4154 0.1560
Cd 0.7500 0.9771 0.8018
Cd 0.4583 0.5846 0.8440
Cd 0.7500 0.4771 0.6982
Cd 0.2500 0.0229 0.1982
Cd 0.2500 0.2673 0.2644
Cd 0.2500 0.0855 0.4430
Cd 0.7500 0.2327 0.7644
Cd 0.5417 0.9154 0.3440
Cd 0.7500 0.9145 0.5570
Cd 0.2500 0.7673 0.2356
Cd 0.2500 0.5855 0.0570
Cd 0.0417 0.0846 0.6560
Cd 0.7500 0.7327 0.7356
Cd 0.0417 0.5846 0.8440
Cd 0.7500 0.4145 0.9430
Cd 0.9583 0.4154 0.1560
Cd 0.2500 0.5229 0.3018
Cd 0.9583 0.9154 0.3440
Rb 0.7500 0.2288 0.4226
Rb 0.2500 0.7712 0.5774
Rb 0.7500 0.7288 0.0774
Rb 0.2500 0.2712 0.9226
Cs 0.7500 0.6124 0.4062
Cs 0.2500 0.3876 0.5938
Cs 0.2500 0.8876 0.9062
Cs 0.7500 0.1124 0.0938

---

# 7
VASP calculation (PBE) on crystalline BeFe3Sb at its relaxed geometry.

Properties
- Total magnetization: 7.4 μB/f.u.
- Formation energy from raw total energies: 1.609 eV/atom
- Calculated volume: 20.9 Å³/atom
- Total DFT energy (no corrections): -25.19 eV per cell

Cell: 4.7102 4.7102 4.7102 Å, 90.00 90.00 90.00°
Last column: magnetic moment on the atom in μB.
Element x y z (fractional)
Be 0.5000 0.5000 0.5000  -0.12
Fe 0.5000 0.0000 0.0000  2.55
Fe 0.0000 0.0000 0.5000  2.66
Fe 0.0000 0.5000 0.0000  2.57
Sb 0.0000 0.0000 0.0000  -0.08

---

# 8
VASP calculation (PBE) on crystalline Na2ZnIn at its relaxed geometry.

Properties
- Total magnetization: 0.0 μB/f.u.
- Energy of formation: -0.05 eV/atom
- Calculated volume: 26.6 Å³/atom
- Total DFT energy (no corrections): -13.67 eV per cell

Cell: 4.5714 6.0634 8.8155 Å, 72.71 74.97 67.85°
Element x y z (fractional)
Na 0.4537 0.4085 0.6842
Na 0.8184 0.8378 0.5255
Na 0.8167 0.3456 0.0210
Na 0.1867 0.2650 0.3615
In 0.5063 0.6963 0.2911
In 0.1312 0.9761 0.7614
Zn 0.0668 0.7698 0.0966
Zn 0.5624 0.9173 0.9579